[1]
Here is an optimized crystal structure of CaEu2Sc from Alexandria via LeMat-Bulk. Energies are from GGA-PBE.

Values from the calculation:
- E_form: 0.18 eV/atom
- ΔE to the lowest computed polymorph: 55 meV/atom
- Magnetic moment: 14.71 Bohr magnetons per cell
- DFT total energy: -7.041 eV per atom
- Space group: Fm-3m (225)

Geometry as POSCAR:
```
CaEu2Sc
1.0
5.8831 0.0000 0.0000
2.9415 5.0949 0.0000
2.9415 1.6983 4.8035
Eu Sc Ca
2 1 1
direct
0.2500 0.2500 0.2500 Eu
0.7500 0.7500 0.7500 Eu
0.0000 0.0000 0.0000 Sc
0.5000 0.5000 0.5000 Ca
```

[2]
Here is an optimized crystal structure of CaSmEuSc from Alexandria via LeMat-Bulk. Energies are from GGA-PBE.

Values from the calculation:
- E_form: 0.19 eV/atom
- Magnetic moment: 7.47 Bohr magnetons per cell
- DFT total energy: -5.646 eV per atom
- Space group: F-43m (216)

Geometry as POSCAR:
```
CaSmEuSc
1.0
-1.5258 3.8826 -3.9689
-5.4363 0.2047 -1.8866
-3.3870 4.4239 1.4530
Eu Sc Ca Sm
1 1 1 1
direct
0.5000 0.5000 0.5000 Eu
0.0000 0.0000 0.0000 Sc
0.7500 0.7500 0.7500 Ca
0.2500 0.2500 0.2500 Sm
```

[3]
Here is an optimized crystal structure of CaEuTmSc from Alexandria via LeMat-Bulk. Energies are from GGA-PBE.

Values from the calculation:
- E_form: 0.21 eV/atom
- Magnetic moment: 7.54 Bohr magnetons per cell
- DFT total energy: -5.563 eV per atom
- Space group: F-43m (216)

Geometry as POSCAR:
```
CaEuTmSc
1.0
5.6915 0.0000 0.0000
2.8457 4.9290 0.0000
2.8457 1.6430 4.6471
Eu Sc Ca Tm
1 1 1 1
direct
0.5000 0.5000 0.5000 Eu
0.0000 0.0000 0.0000 Sc
0.7500 0.7500 0.7500 Ca
0.2500 0.2500 0.2500 Tm
```

[4]
Here is an optimized crystal structure of CaEu3Se from Alexandria via LeMat-Bulk. Energies are from GGA-PBE.

Values from the calculation:
- Raw formation energy: -653 meV per atom
- Magnetic moment: 23.07 Bohr magnetons per cell
- DFT total energy: -7.915 eV per atom
- Space group: Pm-3m (221)

Geometry as POSCAR:
```
CaEu3Se
1.0
-3.0071 2.3462 4.5039
-1.0329 -5.4074 2.1273
4.9722 0.2957 3.1657
Eu Ca Se
3 1 1
direct
0.0000 0.5000 0.0000 Eu
0.0000 0.0000 0.5000 Eu
0.5000 0.0000 0.0000 Eu
0.5000 0.5000 0.5000 Ca
0.0000 0.0000 0.0000 Se
```

Question: The lowest DFT total energy belongs to which entry?
Answer: CaEu3Se

Question: DFT total energy of number 3 (CaEuTmSc)?
Answer: -5.563 eV per atom

Please write out number 4 again, unchanged.
Here is an optimized crystal structure of CaEu3Se from Alexandria via LeMat-Bulk. Energies are from GGA-PBE.

Values from the calculation:
- Raw formation energy: -653 meV per atom
- Magnetic moment: 23.07 Bohr magnetons per cell
- DFT total energy: -7.915 eV per atom
- Space group: Pm-3m (221)

Geometry as POSCAR:
```
CaEu3Se
1.0
-3.0071 2.3462 4.5039
-1.0329 -5.4074 2.1273
4.9722 0.2957 3.1657
Eu Ca Se
3 1 1
direct
0.0000 0.5000 0.0000 Eu
0.0000 0.0000 0.5000 Eu
0.5000 0.0000 0.0000 Eu
0.5000 0.5000 0.5000 Ca
0.0000 0.0000 0.0000 Se
```

Question: Among the records above, which one has the highest magnetic moment?
Answer: CaEu3Se